1.
HSF6 | PBE | relaxed

Values from the calculation:
Total moment (Bohr magnetons per cell): 1.00
N(E_F) (states/eV per atom): 0.295
Mass density (g/cm3): 2.50
Raw total energy (eV/f.u.): -29.7

```
data_HSF6
_chemical_formula_sum 'H1 S1 F6'
_space_group_name_H-M_alt 'P 1'
_space_group_IT_number 1
_space_group_name_Hall 'P 1'
_cell_length_a 4.8949
_cell_length_b 5.0143
_cell_length_c 5.0385
_cell_angle_alpha 113.80
_cell_angle_beta 114.90
_cell_angle_gamma 95.04
loop_
_atom_site_label
_atom_site_type_symbol
_atom_site_fract_x
_atom_site_fract_y
_atom_site_fract_z
H1 H 0.0000 0.0000 0.0000
S1 S 0.0000 0.5000 0.5000
F1 F 0.0594 0.7717 0.9414
F2 F 0.2214 0.3153 0.6673
F3 F 0.3247 0.7376 0.5884
F4 F 0.6753 0.2624 0.4116
F5 F 0.7786 0.6847 0.3327
F6 F 0.9406 0.2283 0.0586
```

2.
HS3F3 | PBE | relaxed

Values from the calculation:
Total moment (Bohr magnetons per cell): 0.00
Mass density (g/cm3): 2.38
Raw total energy (eV/f.u.): -25.8

```
data_HS3F3
_chemical_formula_sum 'H2 S6 F6'
_space_group_name_H-M_alt 'P 1'
_space_group_IT_number 1
_space_group_name_Hall 'P 1'
_cell_length_a 7.0621
_cell_length_b 7.0621
_cell_length_c 7.0621
_cell_angle_alpha 54.11
_cell_angle_beta 54.11
_cell_angle_gamma 54.11
loop_
_atom_site_label
_atom_site_type_symbol
_atom_site_fract_x
_atom_site_fract_y
_atom_site_fract_z
H1 H 0.2421 0.2421 0.2421
H2 H 0.7579 0.7579 0.7579
S1 S 0.1393 0.8507 0.7908
S2 S 0.1493 0.2092 0.8607
S3 S 0.2092 0.8607 0.1493
S4 S 0.7908 0.1393 0.8507
S5 S 0.8507 0.7908 0.1393
S6 S 0.8607 0.1493 0.2092
F1 F 0.0018 0.6057 0.6695
F2 F 0.3305 0.9982 0.3943
F3 F 0.3943 0.3305 0.9982
F4 F 0.6057 0.6695 0.0018
F5 F 0.6695 0.0018 0.6057
F6 F 0.9982 0.3943 0.3305
```

3.
HS2F | PBE | relaxed

Values from the calculation:
Total moment (Bohr magnetons per cell): 0.00
N(E_F) (states/eV per atom): 0.564
Mass density (g/cm3): 3.15
Raw total energy (eV/f.u.): -12.1

```
data_HS2F
_chemical_formula_sum 'H1 S2 F1'
_space_group_name_H-M_alt 'P 1'
_space_group_IT_number 1
_space_group_name_Hall 'P 1'
_cell_length_a 7.3199
_cell_length_b 7.3199
_cell_length_c 7.3199
_cell_angle_alpha 21.06
_cell_angle_beta 21.06
_cell_angle_gamma 21.06
loop_
_atom_site_label
_atom_site_type_symbol
_atom_site_fract_x
_atom_site_fract_y
_atom_site_fract_z
H1 H 0.0000 0.0000 0.0000
S1 S 0.0759 0.0759 0.0759
S2 S 0.9241 0.9241 0.9241
F1 F 0.5000 0.5000 0.5000
```

4.
HS3F | PBE | relaxed

Values from the calculation:
Total moment (Bohr magnetons per cell): 0.00
N(E_F) (states/eV per atom): 0.626
Mass density (g/cm3): 3.29
Raw total energy (eV/f.u.): -13.7

```
data_HS3F
_chemical_formula_sum 'H1 S3 F1'
_space_group_name_H-M_alt 'P 1'
_space_group_IT_number 1
_space_group_name_Hall 'P 1'
_cell_length_a 3.8836
_cell_length_b 3.8836
_cell_length_c 3.8836
_cell_angle_alpha 90.00
_cell_angle_beta 90.00
_cell_angle_gamma 90.00
loop_
_atom_site_label
_atom_site_type_symbol
_atom_site_fract_x
_atom_site_fract_y
_atom_site_fract_z
H1 H 0.0000 0.0000 0.0000
S1 S 0.0000 0.0000 0.5000
S2 S 0.0000 0.5000 0.0000
S3 S 0.5000 0.0000 0.0000
F1 F 0.5000 0.5000 0.5000
```